BaCaDyFeO6: relaxed, GGA+U.

Its crystal system is cubic. The value obtained for the energy is -6.659 eV/atom. The mass density comes out at 5.97 g cm⁻³.

The space group is F-43m (No. 216) and the conventional cell measures 8.181, 8.181 and 8.181 Å, with angles of 90.00, 90.00 and 90.00 degrees. The inequivalent atoms are Ba at (0.000, 0.000, 0.000), Ca at (0.000, 0.000, 0.500), Dy at (0.250, 0.250, 0.250), Fe at (0.250, 0.250, 0.750) and O at (0.019, 0.250, 0.750).